! PBE-GGA La2CrIn, relaxed; values from VASP
! total moment: 3.2 μB per cell
&SYSTEM
  ibrav = 0, nat = 4, ntyp = 3
/
ATOMIC_SPECIES
La 138.91 La.upf
Cr 52.00 Cr.upf
In 114.82 In.upf
CELL_PARAMETERS angstrom
-2.383 2.383 4.852
2.383 -2.383 4.852
2.383 2.383 -4.852
ATOMIC_POSITIONS angstrom
La 0.000 0.000 0.000
La 0.000 2.383 2.426
Cr 2.383 0.000 2.426
In 0.000 0.000 4.852

! PBE-GGA LaCr2In, relaxed; values from VASP
! total moment: 7.2 μB per cell
&SYSTEM
  ibrav = 0, nat = 4, ntyp = 3
/
ATOMIC_SPECIES
La 138.91 La.upf
Cr 52.00 Cr.upf
In 114.82 In.upf
CELL_PARAMETERS angstrom
1.641 0.947 9.756
-1.641 0.947 9.756
0.000 -1.895 9.756
ATOMIC_POSITIONS angstrom
La 0.000 0.000 0.000
Cr 0.000 0.000 7.112
Cr 0.000 0.000 22.156
In 0.000 0.000 14.634

! PBE-GGA LaCrIn, relaxed; values from VASP
! total moment: 4.2 μB per cell
&SYSTEM
  ibrav = 0, nat = 3, ntyp = 3
/
ATOMIC_SPECIES
La 138.91 La.upf
Cr 52.00 Cr.upf
In 114.82 In.upf
CELL_PARAMETERS angstrom
0.000 3.637 3.637
3.637 0.000 3.637
3.637 3.637 0.000
ATOMIC_POSITIONS angstrom
La 0.000 0.000 0.000
Cr 5.456 5.456 5.456
In 1.819 1.819 1.819

! PBE-GGA La2CrIn, relaxed; values from VASP
! total moment: 3.0 μB per cell
&SYSTEM
  ibrav = 0, nat = 4, ntyp = 3
/
ATOMIC_SPECIES
La 138.91 La.upf
Cr 52.00 Cr.upf
In 114.82 In.upf
CELL_PARAMETERS angstrom
0.000 3.726 3.726
3.726 0.000 3.726
3.726 3.726 0.000
ATOMIC_POSITIONS angstrom
La 0.000 0.000 0.000
La 1.863 1.863 1.863
Cr 3.726 3.726 3.726
In 5.588 5.588 5.588

! PBE-GGA LaCr2In, relaxed; values from VASP
! total moment: 0.1 μB per cell
&SYSTEM
  ibrav = 0, nat = 4, ntyp = 3
/
ATOMIC_SPECIES
La 138.91 La.upf
Cr 52.00 Cr.upf
In 114.82 In.upf
CELL_PARAMETERS angstrom
-2.526 2.526 3.587
2.526 -2.526 3.587
2.526 2.526 -3.587
ATOMIC_POSITIONS angstrom
La 0.000 0.000 0.000
Cr 2.526 0.000 1.794
Cr 0.000 0.000 3.587
In 0.000 2.526 1.794

! PBE-GGA LaMgCr2In, relaxed; values from VASP
! total moment: 0.0 μB per cell
&SYSTEM
  ibrav = 0, nat = 5, ntyp = 4
/
ATOMIC_SPECIES
La 138.91 La.upf
Mg 24.30 Mg.upf
Cr 52.00 Cr.upf
In 114.82 In.upf
CELL_PARAMETERS angstrom
4.800 0.000 0.000
0.000 4.800 0.000
0.000 0.000 5.417
ATOMIC_POSITIONS angstrom
La 0.000 0.000 0.000
Mg 0.000 0.000 2.708
Cr 0.000 2.400 2.708
Cr 2.400 0.000 2.708
In 2.400 2.400 0.000

! PBE-GGA LaMgCrIn2, relaxed; values from VASP
! total moment: 4.0 μB per cell
&SYSTEM
  ibrav = 0, nat = 5, ntyp = 4
/
ATOMIC_SPECIES
La 138.91 La.upf
Mg 24.30 Mg.upf
Cr 52.00 Cr.upf
In 114.82 In.upf
CELL_PARAMETERS angstrom
6.007 0.000 0.000
0.000 6.007 0.000
0.000 0.000 6.063
ATOMIC_POSITIONS angstrom
La 0.000 0.000 0.000
Mg 0.000 0.000 3.032
Cr 3.003 3.003 3.032
In 0.000 3.003 0.000
In 3.003 0.000 0.000

! PBE-GGA LaCrInPb2, relaxed; values from VASP
! total moment: 0.5 μB per cell
&SYSTEM
  ibrav = 0, nat = 5, ntyp = 4
/
ATOMIC_SPECIES
La 138.91 La.upf
Cr 52.00 Cr.upf
In 114.82 In.upf
Pb 207.20 Pb.upf
CELL_PARAMETERS angstrom
6.192 0.000 0.000
0.000 6.192 0.000
0.000 0.000 4.649
ATOMIC_POSITIONS angstrom
La 0.000 0.000 0.000
Cr 0.000 0.000 2.324
In 3.096 3.096 2.324
Pb 0.000 3.096 0.000
Pb 3.096 0.000 0.000

Record order is preserved below.
Electronic total energy: -5.496 -6.027 -5.100 -5.463 -6.450 -4.110 -3.066 -3.773 eV/atom
Record order is preserved below.
E_form: 0.06 0.70 0.66 0.09 0.28 1.59 1.26 1.17 eV/atom